1.
# ZrTlPb4

ZrTlPb4 after structural relaxation (PBE, Alexandria).

ΔE_f: 354 meV/atom
Magnetic moment: 0.257 μB/atom
Total DFT energy (no corrections): -3.937 eV/atom
Fermi-level density of states: 25.15 states/eV per cell

The structure in CIF format:
```
data_ZrTlPb4
_space_group_name_H-M_alt 'F -4 3 m'
_space_group_IT_number 216
_space_group_name_Hall 'F -4 2 3'
_cell_length_a 9.041
_cell_length_b 9.041
_cell_length_c 9.041
_cell_angle_alpha 90.00
_cell_angle_beta 90.00
_cell_angle_gamma 90.00
loop_
_atom_site_label
_atom_site_type_symbol
_atom_site_fract_x
_atom_site_fract_y
_atom_site_fract_z
_atom_site_occupancy
Zr1 Zr 0.000 0.000 0.000 1
Tl1 Tl 0.250 0.250 0.250 1
Pb1 Pb 0.126 0.126 0.626 1
```

---

2.
# ZrTlPb2

ZrTlPb2 after structural relaxation (PBE, Alexandria).

ΔE_f: 66 meV/atom
Magnetic moment: 0.000 μB/atom
Total DFT energy (no corrections): -4.516 eV/atom
Fermi-level density of states: 2.75 states/eV per cell
Relative energy among the computed polymorphs: 0.089 eV/atom

The structure in CIF format:
```
data_ZrTlPb2
_space_group_name_H-M_alt 'P 4/m m m'
_space_group_IT_number 123
_space_group_name_Hall '-P 4 2'
_cell_length_a 5.659
_cell_length_b 5.659
_cell_length_c 3.356
_cell_angle_alpha 90.00
_cell_angle_beta 90.00
_cell_angle_gamma 90.00
loop_
_atom_site_label
_atom_site_type_symbol
_atom_site_fract_x
_atom_site_fract_y
_atom_site_fract_z
_atom_site_occupancy
Zr1 Zr 0.000 0.000 0.000 1
Tl1 Tl 0.500 0.500 0.000 1
Pb1 Pb 0.000 0.500 0.500 1
```

---

3.
# Zr2TlPb

Zr2TlPb after structural relaxation (PBE, Alexandria).

ΔE_f: -92 meV/atom
Magnetic moment: 0.000 μB/atom
Total DFT energy (no corrections): -5.884 eV/atom
Fermi-level density of states: 4.07 states/eV per cell
Relative energy among the computed polymorphs: 0.009 eV/atom

The structure in CIF format:
```
data_Zr2TlPb
_space_group_name_H-M_alt 'C 1 2/m 1'
_space_group_IT_number 12
_cell_length_a 6.540
_cell_length_b 8.794
_cell_length_c 3.278
_cell_angle_alpha 90.00
_cell_angle_beta 94.70
_cell_angle_gamma 90.00
loop_
_space_group_symop_operation_xyz
'x,y,z'
'-x,-y,-z'
'-x,y,-z'
'x,-y,z'
'x+1/2,y+1/2,z'
'-x+1/2,-y+1/2,-z'
'-x+1/2,y+1/2,-z'
'x+1/2,-y+1/2,z'
loop_
_atom_site_label
_atom_site_type_symbol
_atom_site_fract_x
_atom_site_fract_y
_atom_site_fract_z
_atom_site_occupancy
Zr1 Zr 0.250 0.250 0.000 1
Tl1 Tl 0.000 0.000 0.500 1
Pb1 Pb 0.000 0.500 0.500 1
```

---

Question: The highest magnetic moment belongs to which entry?
Answer: ZrTlPb4